CuPd6Pt: relaxed, GGA-PBE.

Summary:
- Calculated volume: 15.067 A^3/atom
- Formation energy: -0.062 eV per atom

abc: 5.5447 5.5447 5.5447
angles: 60.00 60.00 60.00
Last column: nearest neighbours and their distance in Å.
Atoms (fractional coordinates):
Pd 0.0000 0.5000 0.0000  2 Cu 2.77, 8 Pd 2.77, 2 Pt 2.77
Pd 0.0000 0.5000 0.5000  8 Pd 2.77, 2 Pt 2.77, 2 Cu 2.77
Pd 0.0000 0.0000 0.5000  2 Cu 2.77, 8 Pd 2.77, 2 Pt 2.77
Pd 0.5000 0.5000 0.0000  8 Pd 2.77, 2 Pt 2.77, 2 Cu 2.77
Pd 0.5000 0.0000 0.5000  8 Pd 2.77, 2 Pt 2.77, 2 Cu 2.77
Pd 0.5000 0.0000 0.0000  2 Cu 2.77, 8 Pd 2.77, 2 Pt 2.77
Pt 0.5000 0.5000 0.5000  12 Pd 2.77
Cu 0.0000 0.0000 0.0000  12 Pd 2.77